[1]
VASP calculation (PBE-GGA) on a relaxed SrRh crystal.

The structure belongs to space group F-43m (No. 216); the cell edges are 6.4158, 6.4158 and 6.4158 Å and the angles 90.00°, 90.00° and 90.00°. The distinct sites, in fractional coordinates, are Sr at (0.0000, 0.0000, 0.0000) and Rh at (0.2500, 0.2500, 0.2500).

The total magnetization is 0.001 Bohr magnetons per cell. As for the energy of formation from the pure elements: 0.821 eV/atom. The calculation puts the total energy at -29.56 eV for the cell shown.

[2]
VASP calculation (PBE-GGA) on a relaxed Sr2Rh crystal.

The structure belongs to space group Cmcm (No. 63); the cell edges are 3.6281, 21.0270 and 5.3602 Å and the angles 90.00°, 90.00° and 90.00°. The distinct sites, in fractional coordinates, are Sr at (0.0000, 0.0571, 0.2500), Sr at (0.0000, 0.1800, 0.7500) and Rh at (0.0000, 0.4338, 0.2500).

The total magnetization is 0.002 Bohr magnetons per cell. As for the energy of formation from the pure elements: -0.088 eV/atom. The calculation puts the total energy at -43.91 eV for the cell shown.

[3]
VASP calculation (PBE-GGA) on a relaxed Sr4Rh3 crystal.

The structure belongs to space group P6/mmm (No. 191); the cell edges are 5.7701, 5.7701 and 6.4051 Å and the angles 90.00°, 90.00° and 120.00°. The distinct sites, in fractional coordinates, are Sr at (0.0000, 0.0000, 0.2216), Sr at (0.3333, 0.6667, 0.5000) and Rh at (0.0000, 0.5000, 0.0000).

The total magnetization is 0.991 Bohr magnetons per cell. As for the energy of formation from the pure elements: 0.169 eV/atom. The calculation puts the total energy at -27.60 eV for the cell shown.

[4]
VASP calculation (PBE-GGA) on a relaxed Sr3Rh crystal.

The structure belongs to space group Imm2 (No. 44); the cell edges are 4.0794, 11.1124 and 7.0850 Å and the angles 90.00°, 90.00° and 90.00°. The distinct sites, in fractional coordinates, are Sr at (0.0000, 0.0000, 0.0000), Sr at (0.0000, 0.1722, 0.5269) and Rh at (0.0000, 0.5000, 0.1992).

The total magnetization is 0.000 Bohr magnetons per cell. As for the energy of formation from the pure elements: -0.122 eV/atom. The calculation puts the total energy at -25.77 eV for the cell shown.

[5]
VASP calculation (PBE-GGA) on a relaxed SrRh crystal.

The structure belongs to space group Fddd (No. 70, origin choice 2); the cell edges are 5.8707, 9.0676 and 14.9334 Å and the angles 90.00°, 90.00° and 90.00°. The distinct sites, in fractional coordinates, are Sr at (0.1250, 0.2980, 0.1250) and Rh at (0.1250, 0.1250, 0.5408).

The total magnetization is 0.000 Bohr magnetons per cell. As for the energy of formation from the pure elements: 0.026 eV/atom. The calculation puts the total energy at -143.68 eV for the cell shown.

[6]
VASP calculation (PBE-GGA) on a relaxed Sr8Rh5 crystal.

The structure belongs to space group Pm-3m (No. 221); the cell edges are 7.3060, 7.3060 and 7.3060 Å and the angles 90.00°, 90.00° and 90.00°. The distinct sites, in fractional coordinates, are Sr at (0.2485, 0.2485, 0.2485), Rh at (0.0000, 0.0000, 0.0000), Rh at (0.0000, 0.0000, 0.5000) and Rh at (0.5000, 0.5000, 0.5000).

The total magnetization is 0.000 Bohr magnetons per cell. As for the energy of formation from the pure elements: -0.131 eV/atom. The calculation puts the total energy at -51.92 eV for the cell shown.